Al4WSe | Alexandria | PBE | optimized geometry; calculated volume = 16.26 A^3/atom; E = -4.97 eV/atom; density of states at the Fermi level = 2.966 states/eV/cell
1.0
0.000 3.653 3.653
3.653 0.000 3.653
3.653 3.653 0.000
Al W Se
4 1 1
Direct
0.376 0.376 0.376
0.376 0.376 0.873
0.376 0.873 0.376
0.873 0.376 0.376
0.750 0.750 0.750
0.000 0.000 0.000